VASP calculation (GGA-PBE) on an optimized crystal structure of PuHfNp.

Lattice parameters (Å, degrees): 9.936 4.431 6.803 90.00 130.71 90.00
Space group C2/m (No. 12)
Asymmetric unit:
Pu  0.149  0.000  0.077
Hf  0.071  0.500  0.324
Np  0.153  0.000  0.728

Energy of formation from the pure elements in eV per atom: 0.16
Spin magnetization in Bohr magnetons per cell: 0.000
Density of states at the Fermi level in states/eV/atom: 2.0844
E in eV per atom: -12.245

VASP calculation (GGA-PBE) on an optimized crystal structure of PuHf2Np.

Lattice parameters (Å, degrees): 3.095 3.095 9.551 90.00 90.00 90.00
Space group P4/mmm (No. 123)
Asymmetric unit:
Pu  0.000  0.000  0.000
Hf  0.500  0.500  0.252
Np  0.000  0.000  0.500

Energy of formation from the pure elements in eV per atom: 0.28
Spin magnetization in Bohr magnetons per cell: 8.762
Density of states at the Fermi level in states/eV/atom: 3.0197
E in eV per atom: -11.513

VASP calculation (GGA-PBE) on an optimized crystal structure of PuHfNp2Sb4.

Lattice parameters (Å, degrees): 7.496 4.299 7.519 90.00 108.96 90.00
Space group P2/m (No. 10)
Asymmetric unit:
Pu  0.000  0.000  0.000
Hf  0.000  0.500  0.500
Np  0.500  0.000  0.500
Np  0.500  0.500  0.000
Sb  0.236  0.000  0.736
Sb  0.243  0.500  0.257

Spin magnetization in Bohr magnetons per cell: 5.511
Density of states at the Fermi level in states/eV/atom: 4.2176
E in eV per atom: -8.678
E_form (uncorrected) in eV/atom: -0.3455

VASP calculation (GGA-PBE) on an optimized crystal structure of Pu2HfNpSb4.

Lattice parameters (Å, degrees): 7.508 4.309 7.516 90.00 109.06 90.00
Space group P2/m (No. 10)
Asymmetric unit:
Pu  0.000  0.000  0.000
Pu  0.500  0.500  0.000
Hf  0.000  0.500  0.500
Np  0.500  0.000  0.500
Sb  0.236  0.000  0.734
Sb  0.242  0.500  0.260

Spin magnetization in Bohr magnetons per cell: 3.806
Density of states at the Fermi level in states/eV/atom: 4.4837
E in eV per atom: -8.966
E_form (uncorrected) in eV/atom: -0.4604

VASP calculation (GGA-PBE) on an optimized crystal structure of Rb3HfNp3S8.

Lattice parameters (Å, degrees): 7.9932 7.9932 23.4989 90.00 90.00 120.00
Space group R-3m (No. 166, hexagonal axes)
Asymmetric unit:
Rb  0.0000  0.5000  0.0000
Hf  0.0000  0.0000  0.5000
Np  0.0000  0.5000  0.5000
S  0.0000  0.0000  0.2303
S  0.0199  0.5100  0.2276

Spin magnetization in Bohr magnetons per cell: 36.001
Density of states at the Fermi level in states/eV/atom: 1.8038
E in eV per atom: -7.076
E_form (uncorrected) in eV/atom: -1.4295

VASP calculation (GGA-PBE) on an optimized crystal structure of Rb4HfNp3Se8.

Lattice parameters (Å, degrees): 8.3981 8.3981 24.0700 90.00 90.00 120.00
Space group R-3m (No. 166, hexagonal axes)
Asymmetric unit:
Rb  0.0000  0.0000  0.0000
Rb  0.0000  0.5000  0.0000
Hf  0.0000  0.0000  0.5000
Np  0.0000  0.5000  0.5000
Se  0.0000  0.0000  0.2334
Se  0.0188  0.5094  0.2310

Spin magnetization in Bohr magnetons per cell: 39.032
Density of states at the Fermi level in states/eV/atom: 2.0228
E in eV per atom: -6.266
E_form (uncorrected) in eV/atom: -1.2332

VASP calculation (GGA-PBE) on an optimized crystal structure of Rb3HfNp2Se6.

Lattice parameters (Å, degrees): 7.227 12.517 8.379 90.00 106.75 90.00
Space group C2/m (No. 12)
Asymmetric unit:
Rb  0.000  0.000  0.000
Rb  0.000  0.330  0.000
Hf  0.000  0.500  0.500
Np  0.000  0.166  0.500
Se  0.222  0.343  0.694
Se  0.249  0.500  0.305

Spin magnetization in Bohr magnetons per cell: 18.027
Density of states at the Fermi level in states/eV/atom: 1.8427
E in eV per atom: -6.206
E_form (uncorrected) in eV/atom: -1.2355

VASP calculation (GGA-PBE) on an optimized crystal structure of Rb3HfNp3Te8.

Lattice parameters (Å, degrees): 8.932 8.947 10.148 63.86 89.99 60.12
Space group P-1 (No. 2)
Asymmetric unit:
Rb  0.000  0.000  0.000
Rb  0.000  0.500  0.000
Rb  0.500  0.000  0.000
Hf  0.000  0.500  0.500
Np  0.000  0.000  0.500
Np  0.500  0.000  0.500
Np  0.500  0.500  0.500
Te  0.220  0.059  0.691
Te  0.221  0.529  0.692
Te  0.249  0.472  0.308
Te  0.265  0.970  0.297

Spin magnetization in Bohr magnetons per cell: 4.051
Density of states at the Fermi level in states/eV/atom: 1.2759
E in eV per atom: -5.969
E_form (uncorrected) in eV/atom: -0.8486